Record 1
A relaxed structure of GaFe3Mo. Source: Alexandria, functional GGA-PBE.

Computed properties:
- Calculated formation energy: 1.424 eV/atom
- Total DFT energy (no corrections): -6.425 eV/atom
- Distance to the lowest polymorph of the same formula: 1159 meV/atom

Geometry as CIF:
```
data_GaFe3Mo
_chemical_formula_sum 'Ga1 Fe3 Mo1'
_space_group_name_H-M_alt 'P m -3 m'
_space_group_IT_number 221
_space_group_name_Hall '-P 4 2 3'
_cell_length_a 4.497
_cell_length_b 4.497
_cell_length_c 4.497
_cell_angle_alpha 90.00
_cell_angle_beta 90.00
_cell_angle_gamma 90.00
loop_
_atom_site_label
_atom_site_fract_x
_atom_site_fract_y
_atom_site_fract_z
Ga1 0.000 0.000 0.000
Fe1 0.000 0.500 0.500
Mo1 0.500 0.500 0.500
```

***

Record 2
A relaxed structure of GaFeMo2N. Source: Alexandria, functional GGA-PBE.

Computed properties:
- Total DFT energy (no corrections): -8.469 eV/atom
- ΔE_f (raw): -0.174 eV per atom

Geometry as CIF:
```
data_GaFeMo2N
_chemical_formula_sum 'Ga1 Fe1 Mo2 N1'
_space_group_name_H-M_alt 'P 4/m m m'
_space_group_IT_number 123
_space_group_name_Hall '-P 4 2'
_cell_length_a 4.121
_cell_length_b 4.121
_cell_length_c 3.798
_cell_angle_alpha 90.00
_cell_angle_beta 90.00
_cell_angle_gamma 90.00
loop_
_atom_site_label
_atom_site_fract_x
_atom_site_fract_y
_atom_site_fract_z
Ga1 0.000 0.000 0.000
Fe1 0.500 0.500 0.000
Mo1 0.000 0.500 0.500
N1 0.500 0.500 0.500
```